# NaNd2DyTe4

A geometry-optimized NaNd2DyTe4 structure (PBE, Alexandria).

Output
Space group: P2/m, No. 10
Formation energy without anion corrections in eV/atom: -1.35

a = 7.742 Å, b = 4.434 Å, c = 7.759 Å
α = 90.00°, β = 108.96°, γ = 90.00°
Atoms (fractional coordinates):
Na 0.000 0.000 0.000
Nd 0.000 0.500 0.500
Nd 0.500 0.000 0.500
Dy 0.500 0.500 0.000
Te 0.251 0.500 0.243
Te 0.255 0.000 0.761
Te 0.745 0.000 0.239
Te 0.749 0.500 0.757

---

# Na3NdDy2Te6

A geometry-optimized Na3NdDy2Te6 structure (PBE, Alexandria).

Output
Space group: C2/m, No. 12
Formation energy without anion corrections in eV/atom: -1.32

a = 7.740 Å, b = 7.740 Å, c = 7.998 Å
α = 99.29°, β = 99.29°, γ = 120.01°
Atoms (fractional coordinates):
Na 0.000 0.000 0.000
Na 0.336 0.664 0.000
Na 0.664 0.336 0.000
Nd 0.500 0.500 0.500
Dy 0.167 0.833 0.500
Dy 0.833 0.167 0.500
Te 0.081 0.422 0.266
Te 0.237 0.237 0.734
Te 0.422 0.081 0.266
Te 0.578 0.919 0.734
Te 0.763 0.763 0.266
Te 0.919 0.578 0.734

---

# NaNd3Dy2Te6

A geometry-optimized NaNd3Dy2Te6 structure (PBE, Alexandria).

Output
Space group: C2/m, No. 12
Formation energy without anion corrections in eV/atom: -1.36

a = 9.976 Å, b = 9.976 Å, c = 8.949 Å
α = 103.27°, β = 103.27°, γ = 25.65°
Atoms (fractional coordinates):
Na 0.000 0.000 0.000
Nd 0.000 0.000 0.500
Nd 0.339 0.339 0.177
Nd 0.661 0.661 0.823
Dy 0.334 0.334 0.661
Dy 0.666 0.666 0.339
Te 0.168 0.168 0.091
Te 0.169 0.169 0.577
Te 0.495 0.495 0.754
Te 0.505 0.505 0.246
Te 0.831 0.831 0.423
Te 0.832 0.832 0.909

---

# NaNdDy2Tl4

A geometry-optimized NaNdDy2Tl4 structure (PBE, Alexandria).

Output
Space group: R-3m, No. 166
Energy of formation from the pure elements in meV per atom: -297

a = 9.470 Å, b = 9.470 Å, c = 9.470 Å
α = 32.86°, β = 32.86°, γ = 32.86°
Atoms (fractional coordinates):
Na 0.000 0.000 0.000
Nd 0.500 0.500 0.500
Dy 0.254 0.254 0.254
Dy 0.746 0.746 0.746
Tl 0.123 0.123 0.123
Tl 0.374 0.374 0.374
Tl 0.626 0.626 0.626
Tl 0.877 0.877 0.877